Compound: UTeS
Source: OQMD via LeMat-Bulk
Functional: PBE-GGA
Structure: optimized geometry

Structure (CIF):
```
data_UTeS
_cell_length_a 3.9134
_cell_length_b 3.9134
_cell_length_c 13.6754
_cell_angle_alpha 90.00
_cell_angle_beta 90.00
_cell_angle_gamma 120.00
_symmetry_space_group_name_H-M 'P 63 m c'
_symmetry_Int_Tables_number 186
_symmetry_space_group_name_Hall 'P 6c -2c'
loop_
_atom_site_label
_atom_site_fract_x
_atom_site_fract_y
_atom_site_fract_z
_atom_site_occupancy
U1 0.0000 0.0000 0.0000 1
Te1 0.3333 0.6667 0.1513 1
S1 0.3333 0.6667 0.8921 1
```

Calculated values
V (Å³/cell): 181
Relative energy among the computed polymorphs (eV per atom): 0.2025
Crystal system: hexagonal
ρ (g/cm³): 7.28